Entry 1:
The following is a PBE calculation of an optimized crystal structure of Ac2Si3Pd2, from the Alexandria database.

Cell and atoms, written as POSCAR:
```
Ac2Si3Pd2
1.0
-0.7409 -3.8072 1.6932
5.9025 0.5289 -1.5167
0.0198 2.6995 6.0783
Pd Si Ac
2 3 2
Direct
0.9118 0.8236 0.8094
0.0882 0.1764 0.1906
0.4329 0.8657 0.6147
0.5671 0.1343 0.3853
0.5000 0.0000 0.0000
0.1766 0.3533 0.7265
0.8234 0.6467 0.2735
```

Computed properties:
Uncorrected energy ... -5.7230 eV per atom
DOS at the Fermi energy ... 2.85 states/eV/f.u.
Uncorrected formation energy ... -741 meV/atom
V ... 22.61 A^3/atom
Space group ... C2/m


Entry 2:
The following is a PBE calculation of an optimized crystal structure of AcSi2Pd3, from the Alexandria database.

Cell and atoms, written as POSCAR:
```
AcSi2Pd3
1.0
4.0233 0.0000 1.1076
0.8700 7.2599 4.7007
-0.2216 0.5667 8.6660
Ac Pd Si
2 6 4
Direct
0.1639 0.8366 0.8356
0.8361 0.1634 0.1644
0.3674 0.4591 0.8062
0.6323 0.1946 0.5408
0.3677 0.8054 0.4592
0.0001 0.6844 0.3153
0.9999 0.3156 0.6847
0.6326 0.5409 0.1938
0.5001 0.8509 0.1489
0.1361 0.3640 0.3638
0.4999 0.1491 0.8511
0.8639 0.6360 0.6362
```

Computed properties:
Uncorrected energy ... -5.7912 eV per atom
DOS at the Fermi energy ... 2.53 states/eV/f.u.
Uncorrected formation energy ... -702 meV/atom
V ... 20.39 A^3/atom
Space group ... C2/m


Entry 3:
The following is a PBE calculation of an optimized crystal structure of AcSi2Pd4, from the Alexandria database.

Cell and atoms, written as POSCAR:
```
AcSi2Pd4
1.0
-1.0372 -0.0353 3.9734
-4.7725 -4.6255 -1.2869
12.4638 -13.7310 3.1317
Pd Ac Si
16 4 8
Direct
0.7500 0.8633 0.4834
0.2500 0.6387 0.6633
0.7500 0.3613 0.3367
0.2500 0.1367 0.5166
0.2500 0.2299 0.2305
0.2500 0.4987 0.4385
0.2500 0.0013 0.9385
0.7500 0.6367 0.9834
0.2500 0.2701 0.7305
0.7500 0.7701 0.7695
0.7500 0.5013 0.5615
0.2500 0.3633 0.0166
0.7500 0.1387 0.8367
0.7500 0.9987 0.0615
0.2500 0.8613 0.1633
0.7500 0.7299 0.2695
0.2500 0.9833 0.3610
0.7500 0.0167 0.6390
0.7500 0.4833 0.1390
0.2500 0.5167 0.8610
0.2500 0.9656 0.7991
0.2500 0.7317 0.5385
0.7500 0.2317 0.9615
0.2500 0.7683 0.0385
0.7500 0.2683 0.4615
0.7500 0.0344 0.2009
0.7500 0.4656 0.7009
0.2500 0.5344 0.2991
```

Computed properties:
Uncorrected energy ... -5.8246 eV per atom
DOS at the Fermi energy ... 3.29 states/eV/f.u.
Uncorrected formation energy ... -721 meV/atom
V ... 18.67 A^3/atom
Space group ... Pnma